The following is a DFT calculation (PBE+U) of CaV2O4 after structural relaxation.

Structure (CIF):
```
data_CaV2O4
_space_group_name_H-M_alt 'P 1'
_space_group_IT_number 1
_space_group_name_Hall 'P 1'
_cell_length_a 5.2322
_cell_length_b 5.2322
_cell_length_c 10.1208
_cell_angle_alpha 90.00
_cell_angle_beta 90.00
_cell_angle_gamma 145.63
loop_
_atom_site_label
_atom_site_type_symbol
_atom_site_fract_x
_atom_site_fract_y
_atom_site_fract_z
Ca1 Ca 0.1138 0.8862 0.7500
Ca2 Ca 0.8862 0.1138 0.2500
V1 V 0.3656 0.6344 0.5705
V2 V 0.3656 0.6344 0.9295
V3 V 0.6344 0.3656 0.0705
V4 V 0.6344 0.3656 0.4295
O1 O 0.0000 0.0000 0.0000
O2 O 0.0000 0.0000 0.5000
O3 O 0.2667 0.7333 0.1081
O4 O 0.2667 0.7333 0.3919
O5 O 0.4444 0.5556 0.7500
O6 O 0.5556 0.4444 0.2500
O7 O 0.7333 0.2667 0.6081
O8 O 0.7333 0.2667 0.8919
```

Properties
M_tot = 8.0 μB per cell
DFT total energy = -106.41 eV/cell
SG = Cmcm